# PBE with a Hubbard U Na3MoNO3, optimized geometry
# energy = -5.66 eV/atom
# calculated volume = 16.479 Å³ per atom
# Fermi-level density of states = 0.00 states/eV per atom
data_Na3MoNO3
_chemical_formula_sum 'Na6 Mo2 N2 O6'
_cell_length_a 7.360
_cell_length_b 6.293
_cell_length_c 5.693
_cell_angle_alpha 90.00
_cell_angle_beta 90.00
_cell_angle_gamma 90.00
_space_group_name_H-M_alt 'P m n 21'
_space_group_IT_number 31
loop_
_space_group_symop_operation_xyz
'x,y,z'
'-x+1/2,-y,z+1/2'
'-x,y,z'
'x+1/2,-y,z+1/2'
loop_
_atom_site_label
_atom_site_type_symbol
_atom_site_fract_x
_atom_site_fract_y
_atom_site_fract_z
_atom_site_occupancy
Na1 Na 0.000 0.165 0.000 1
Na2 Na 0.244 0.329 0.498 1
Mo1 Mo 0.000 0.827 0.490 1
N1 N 0.000 0.824 0.182 1
O1 O 0.000 0.110 0.588 1
O2 O 0.209 0.687 0.590 1